PBEsol Cs3NiCl5, optimized geometry; calculated density = 3.561 Mg/m³; energy = -3.5968 eV per atom; total magnetization = 2.000 μB/f.u.
1.0
9.061 0.000 0.000
-4.531 8.514 -0.087
0.000 -4.743 7.721
Cl Cs Ni
10 6 2
direct
0.210 0.691 0.980
0.020 0.309 0.520
0.710 0.691 0.210
0.980 0.691 0.480
0.520 0.309 0.290
0.000 0.000 0.000
0.500 0.000 0.500
0.480 0.691 0.710
0.290 0.309 0.790
0.790 0.309 0.020
0.750 0.500 0.750
0.165 0.000 0.335
0.335 0.000 0.835
0.665 0.000 0.165
0.250 0.500 0.250
0.835 0.000 0.665
0.750 0.500 0.250
0.250 0.500 0.750